KAg2Au2 (GGA-PBEsol, optimized geometry); symmetry = No. 127; DOS(E_F) = 2.18 states/eV/cell; ρ = 10.89 g/cm3; total magnetic moment = 0.0 μB per formula unit; E above lowest polymorph = 0.000 eV/atom
1.0
8.290 0.000 0.000
0.000 8.290 0.000
0.000 0.000 2.878
K Ag Au
2 4 4
Direct
0.000 0.000 0.000 K
0.500 0.500 0.000 K
0.172 0.328 0.500 Ag
0.328 0.828 0.500 Ag
0.672 0.172 0.500 Ag
0.828 0.672 0.500 Ag
0.124 0.624 0.000 Au
0.376 0.124 0.000 Au
0.624 0.876 0.000 Au
0.876 0.376 0.000 Au